This record from Alexandria via LeMat-Bulk describes crystalline Ti2SbPPb at its relaxed geometry. The functional is PBE-GGA.

Properties
Energy ... -23.799 eV/f.u.
Total magnetic moment ... 3.9 μB/f.u.
E_form (uncorrected) ... 1.05 eV per atom

Cell lengths 5.134, 5.823, 5.134 Å; angles 90.00, 90.00, 90.00 degrees
Site moments in Bohr magnetons follow the coordinates.
Positions (direct):
1 Pb 0.000 0.500 0.000  0.03
2 Sb 0.000 0.000 0.000  -0.06
3 P 0.500 0.500 0.500  -0.10
4 Ti 0.000 0.000 0.500  1.75
5 Ti 0.500 0.000 0.000  1.35